Pm3Th2ScAs6 | PBE | optimized geometry

a = 4.2055 Å, b = 8.3842 Å, c = 9.3882 Å
α = 103.25°, β = 102.94°, γ = 90.00°
Element x y z (fractional)
As 0.6606 0.0791 0.3213
Th 0.8366 0.6719 0.6733
As 0.0014 0.7651 0.0027
As 0.6674 0.5826 0.3348
As 0.3326 0.4174 0.6652
Pm 0.5000 0.5000 0.0000
As 0.3394 0.9209 0.6787
Pm 0.1672 0.8347 0.3344
Th 0.1634 0.3281 0.3267
As 0.9986 0.2349 0.9973
Pm 0.8328 0.1653 0.6656
Sc 0.5000 0.0000 0.0000

Calculated volume in Å³ per atom: 26.13
Total DFT energy (no corrections) in eV per cell: -80.74
E_form in eV/atom: -1.451